[1]
An optimized crystal structure of LiPm12Si6. Source: Alexandria via LeMat-Bulk, functional GGA-PBE.

a = 10.2786 Å, b = 10.2786 Å, c = 10.2786 Å
α = 90.00°, β = 90.00°, γ = 90.00°
With the nearest neighbours (Å) after each atom.
Space group Im-3 (No. 204)
Unique sites:
Li  0.0000  0.0000  0.0000 [2 per cell]  12 Pm 3.64
Pm  0.0000  0.1892  0.2994 [24 per cell]  3 Si 2.89-3.07
Si  0.0000  0.3857  0.5000 [12 per cell]  1 Si 2.35

Results
- Total magnetization: 0.01 μB/cell
- Raw total energy: -5.234 eV per atom

---

[2]
An optimized crystal structure of LiPmSi3. Source: Alexandria via LeMat-Bulk, functional GGA-PBE.

a = 4.2124 Å, b = 23.6175 Å, c = 3.8945 Å
α = 90.00°, β = 90.00°, γ = 90.00°
With the nearest neighbours (Å) after each atom.
Space group Cmcm (No. 63)
Unique sites:
Li  0.0000  0.2042  0.2500 [4 per cell]  7 Si 2.66-2.91
Pm  0.0000  0.0749  0.7500 [4 per cell]  12 Si 3.09-3.31
Si  0.0000  0.3167  0.2500 [4 per cell]  2 Si 2.36
Si  0.0000  0.3729  0.7500 [4 per cell]  3 Si 2.36-2.37
Si  0.0000  0.4733  0.7500 [4 per cell]  3 Si 2.32-2.37

Results
- Total magnetization: 0.00 μB/cell
- Raw total energy: -4.998 eV per atom

---

[3]
An optimized crystal structure of Li2Pm2Si. Source: Alexandria via LeMat-Bulk, functional GGA-PBE.

a = 3.5337 Å, b = 3.5337 Å, c = 19.3612 Å
α = 90.00°, β = 90.00°, γ = 90.00°
With the nearest neighbours (Å) after each atom.
Space group I4/mmm (No. 139)
Unique sites:
Li  0.0000  0.5000  0.2500 [4 per cell]  4 Li 2.50
Pm  0.0000  0.0000  0.0936 [4 per cell]  4 Si 3.09
Si  0.0000  0.0000  0.5000 [2 per cell]  8 Pm 3.09

Results
- Total magnetization: 0.00 μB/cell
- Raw total energy: -3.849 eV per atom

---

[4]
An optimized crystal structure of Li4PmSi2. Source: Alexandria via LeMat-Bulk, functional GGA-PBE.

a = 4.9159 Å, b = 4.9159 Å, c = 10.3465 Å
α = 90.00°, β = 90.00°, γ = 90.00°
With the nearest neighbours (Å) after each atom.
Space group I4/mmm (No. 139)
Unique sites:
Li  0.0000  0.5000  0.0000 [4 per cell]  2 Pm 2.46, 2 Li 2.59, 4 Si 2.74
Li  0.0000  0.5000  0.2500 [4 per cell]  2 Li 2.59, 4 Si 2.81
Pm  0.0000  0.0000  0.0000 [2 per cell]  4 Li 2.46
Si  0.0000  0.0000  0.3823 [4 per cell]  1 Si 2.44

Results
- Total magnetization: 2.47 μB/cell
- Distance to the lowest polymorph of the same formula: 512 meV/atom

---

[5]
An optimized crystal structure of LiPmSi4. Source: Alexandria via LeMat-Bulk, functional GGA-PBE.

a = 4.0600 Å, b = 4.0600 Å, c = 7.6604 Å
α = 90.00°, β = 90.00°, γ = 120.00°
With the nearest neighbours (Å) after each atom.
Space group P6/mmm (No. 191)
Unique sites:
Li  0.0000  0.0000  0.0000 [1 per cell]  12 Si 2.89
Pm  0.0000  0.0000  0.5000 [1 per cell]  12 Si 3.18
Si  0.3333  0.6667  0.2198 [4 per cell]  3 Si 2.34

Results
- Total magnetization: 0.00 μB/cell
- Distance to the lowest polymorph of the same formula: 71 meV/atom

---

[6]
An optimized crystal structure of LiPm4Si2. Source: Alexandria via LeMat-Bulk, functional GGA-PBE.

a = 5.2726 Å, b = 5.2726 Å, c = 13.6442 Å
α = 90.00°, β = 90.00°, γ = 90.00°
With the nearest neighbours (Å) after each atom.
Space group I4/mmm (No. 139)
Unique sites:
Li  0.0000  0.0000  0.0000 [2 per cell]  4 Pm 2.64
Pm  0.0000  0.5000  0.0000 [4 per cell]  2 Li 2.64
Pm  0.0000  0.5000  0.2500 [4 per cell]  4 Si 3.09, 2 Pm 3.41
Si  0.0000  0.0000  0.3682 [4 per cell]  8 Pm 3.09-3.19

Results
- Total magnetization: 0.00 μB/cell
- Raw total energy: -4.581 eV per atom

---

[7]
An optimized crystal structure of Li4PmSi2. Source: Alexandria via LeMat-Bulk, functional GGA-PBE.

a = 3.9334 Å, b = 4.2331 Å, c = 8.3778 Å
α = 90.00°, β = 103.36°, γ = 90.00°
With the nearest neighbours (Å) after each atom.
Space group P2/m (No. 10)
Unique sites:
Li  0.1699  0.0000  0.3432 [2 per cell]  2 Si 2.67, 4 Li 2.89
Li  0.3243  0.5000  0.6449 [2 per cell]  2 Si 2.61-2.62, 4 Li 2.89
Pm  0.5000  0.0000  0.0000 [1 per cell]  8 Si 3.12, 4 Li 3.42
Si  0.0712  0.5000  0.1437 [2 per cell]  1 Si 2.34, 2 Li 2.61-2.62

Results
- Total magnetization: 0.00 μB/cell
- Distance to the lowest polymorph of the same formula: 0 meV/atom

---

[8]
An optimized crystal structure of LiPm12Si7. Source: Alexandria via LeMat-Bulk, functional GGA-PBE.

a = 14.5520 Å, b = 14.5520 Å, c = 8.9647 Å
α = 90.00°, β = 90.00°, γ = 120.00°
With the nearest neighbours (Å) after each atom.
Space group R-3 (No. 148, hexagonal axes)
Unique sites:
Li  0.0000  0.0000  0.0000 [3 per cell]  6 Si 2.45
Pm  0.0304  0.5858  0.3180 [18 per cell]  3 Si 2.95-2.98
Pm  0.0454  0.8686  0.2739 [18 per cell]  4 Si 2.97-3.08
Si  0.0000  0.0000  0.5000 [3 per cell]  6 Pm 3.08
Si  0.0454  0.8646  0.9318 [18 per cell]  1 Li 2.45, 2 Si 2.67

Results
- Total magnetization: 0.00 μB/cell
- Raw total energy: -5.221 eV per atom

---

[9]
An optimized crystal structure of LiPm5Si3. Source: Alexandria via LeMat-Bulk, functional GGA-PBE.

a = 9.0624 Å, b = 9.0624 Å, c = 6.2800 Å
α = 90.00°, β = 90.00°, γ = 120.00°
With the nearest neighbours (Å) after each atom.
Space group P6_3/mcm (No. 193)
Unique sites:
Li  0.0000  0.0000  0.0000 [2 per cell]  2 Li 3.14, 6 Pm 3.19
Pm  0.0000  0.3062  0.2500 [6 per cell]  5 Si 3.00-3.17, 2 Li 3.19
Pm  0.3333  0.6667  0.0000 [4 per cell]  2 Pm 3.14, 6 Si 3.34
Si  0.0000  0.3503  0.7500 [6 per cell]  9 Pm 3.00-3.34

Results
- Total magnetization: 0.00 μB/cell
- Raw total energy: -5.120 eV per atom

---

[10]
An optimized crystal structure of Li3Pm4Si4. Source: Alexandria via LeMat-Bulk, functional GGA-PBE.

a = 4.4045 Å, b = 7.6546 Å, c = 17.0901 Å
α = 90.00°, β = 90.00°, γ = 90.00°
With the nearest neighbours (Å) after each atom.
Space group Immm (No. 71)
Unique sites:
Li  0.0000  0.0000  0.0000 [2 per cell]  6 Si 3.25-3.43
Li  0.0000  0.5000  0.0713 [4 per cell]  1 Li 2.44
Pm  0.0000  0.2578  0.3346 [8 per cell]  4 Si 2.91-3.16
Si  0.0000  0.0000  0.1904 [4 per cell]  6 Pm 2.91-3.16, 1 Li 3.25
Si  0.0000  0.1563  0.5000 [4 per cell]  1 Si 2.39

Results
- Total magnetization: 0.01 μB/cell
- Raw total energy: -4.423 eV per atom

---

[11]
An optimized crystal structure of LiPm2Si. Source: Alexandria via LeMat-Bulk, functional GGA-PBE.

a = 4.8804 Å, b = 4.8804 Å, c = 4.0381 Å
α = 90.00°, β = 90.00°, γ = 90.00°
With the nearest neighbours (Å) after each atom.
Space group P4/mmm (No. 123)
Unique sites:
Li  0.0000  0.0000  0.0000 [1 per cell]  8 Pm 3.17, 4 Si 3.45
Pm  0.0000  0.5000  0.5000 [2 per cell]  4 Li 3.17, 4 Si 3.17, 4 Pm 3.45
Si  0.5000  0.5000  0.0000 [1 per cell]  8 Pm 3.17, 4 Li 3.45

Results
- Total magnetization: 0.00 μB/cell
- Raw total energy: -4.527 eV per atom

---

[12]
An optimized crystal structure of Li2PmSm2Si2. Source: Alexandria via LeMat-Bulk, functional GGA-PBE.

a = 4.4949 Å, b = 4.4949 Å, c = 27.3496 Å
α = 90.00°, β = 90.00°, γ = 120.00°
With the nearest neighbours (Å) after each atom.
Space group R-3m (No. 166, hexagonal axes)
Unique sites:
Li  0.0000  0.0000  0.1000 [6 per cell]  3 Si 2.60
Pm  0.0000  0.0000  0.5000 [3 per cell]  6 Li 3.17, 6 Si 3.22, 2 Sm 3.48
Sm  0.0000  0.0000  0.3729 [6 per cell]  3 Si 3.03, 3 Li 3.08, 3 Sm 3.38
Si  0.0000  0.0000  0.2366 [6 per cell]  3 Li 2.60

Results
- Total magnetization: 0.00 μB/cell
- Raw total energy: -4.515 eV per atom

---

[13]
An optimized crystal structure of LiPmSmSi. Source: Alexandria via LeMat-Bulk, functional GGA-PBE.

a = 7.2114 Å, b = 7.2114 Å, c = 7.2114 Å
α = 90.00°, β = 90.00°, γ = 90.00°
With the nearest neighbours (Å) after each atom.
Space group F-43m (No. 216)
Unique sites:
Li  0.0000  0.0000  0.0000 [4 per cell]  4 Sm 3.12, 4 Pm 3.12
Pm  0.2500  0.2500  0.2500 [4 per cell]  4 Li 3.12, 4 Si 3.12
Sm  0.2500  0.2500  0.7500 [4 per cell]  4 Si 3.12, 4 Li 3.12
Si  0.0000  0.0000  0.5000 [4 per cell]  4 Pm 3.12, 4 Sm 3.12

Results
- Total magnetization: 0.00 μB/cell
- Raw total energy: -4.556 eV per atom

---

[14]
An optimized crystal structure of Li2PmSmSi2. Source: Alexandria via LeMat-Bulk, functional GGA-PBE.

a = 4.4405 Å, b = 4.4405 Å, c = 7.4127 Å
α = 90.00°, β = 90.00°, γ = 120.00°
With the nearest neighbours (Å) after each atom.
Space group P-3m1 (No. 164)
Unique sites:
Li  0.3333  0.6667  0.2452 [2 per cell]  3 Si 2.56
Pm  0.0000  0.0000  0.5000 [1 per cell]  6 Si 3.17, 6 Li 3.18
Sm  0.0000  0.0000  0.0000 [1 per cell]  6 Li 3.14, 6 Si 3.15
Si  0.3333  0.6667  0.7520 [2 per cell]  3 Li 2.56

Results
- Total magnetization: 0.00 μB/cell
- Raw total energy: -4.571 eV per atom

---

[15]
An optimized crystal structure of Li2Pm2SmSi2. Source: Alexandria via LeMat-Bulk, functional GGA-PBE.

a = 4.4831 Å, b = 4.4831 Å, c = 27.6239 Å
α = 90.00°, β = 90.00°, γ = 120.00°
With the nearest neighbours (Å) after each atom.
Space group R-3m (No. 166, hexagonal axes)
Unique sites:
Li  0.0000  0.0000  0.1027 [6 per cell]  3 Si 2.59
Pm  0.0000  0.0000  0.3737 [6 per cell]  3 Si 3.05, 3 Li 3.11
Sm  0.0000  0.0000  0.5000 [3 per cell]  6 Li 3.13, 6 Si 3.20, 2 Pm 3.49
Si  0.0000  0.0000  0.2347 [6 per cell]  3 Li 2.59

Results
- Total magnetization: 0.00 μB/cell
- Raw total energy: -4.519 eV per atom

---

[16]
An optimized crystal structure of SrLiPmSi. Source: Alexandria via LeMat-Bulk, functional GGA-PBE.

a = 7.4630 Å, b = 7.4630 Å, c = 7.4630 Å
α = 90.00°, β = 90.00°, γ = 90.00°
With the nearest neighbours (Å) after each atom.
Space group F-43m (No. 216)
Unique sites:
Sr  0.0000  0.0000  0.0000 [4 per cell]  4 Si 3.23, 4 Li 3.23
Li  0.2500  0.2500  0.7500 [4 per cell]  4 Pm 3.23, 4 Sr 3.23
Pm  0.0000  0.0000  0.5000 [4 per cell]  4 Li 3.23, 4 Si 3.23
Si  0.2500  0.2500  0.2500 [4 per cell]  4 Pm 3.23, 4 Sr 3.23

Results
- Total magnetization: 0.00 μB/cell
- Raw total energy: -3.650 eV per atom

---

[17]
An optimized crystal structure of Li2TbPm2Si2. Source: Alexandria via LeMat-Bulk, functional GGA-PBE.

a = 4.4341 Å, b = 4.4341 Å, c = 27.9459 Å
α = 90.00°, β = 90.00°, γ = 120.00°
With the nearest neighbours (Å) after each atom.
Space group R-3m (No. 166, hexagonal axes)
Unique sites:
Li  0.0000  0.0000  0.1080 [6 per cell]  3 Si 2.56
Tb  0.0000  0.0000  0.5000 [3 per cell]  6 Li 3.04, 6 Si 3.13
Pm  0.0000  0.0000  0.3756 [6 per cell]  3 Si 3.06, 3 Li 3.15
Si  0.0000  0.0000  0.2310 [6 per cell]  3 Li 2.56

Results
- Total magnetization: 0.00 μB/cell
- Raw total energy: -4.509 eV per atom

---

[18]
An optimized crystal structure of Li2Tb2PmSi2. Source: Alexandria via LeMat-Bulk, functional GGA-PBE.

a = 4.4770 Å, b = 4.4770 Å, c = 26.7757 Å
α = 90.00°, β = 90.00°, γ = 120.00°
With the nearest neighbours (Å) after each atom.
Space group R-3m (No. 166, hexagonal axes)
Unique sites:
Li  0.0000  0.0000  0.0967 [6 per cell]  3 Si 2.59
Tb  0.0000  0.0000  0.3721 [6 per cell]  3 Si 2.98, 3 Li 3.02, 3 Tb 3.32
Pm  0.0000  0.0000  0.5000 [3 per cell]  6 Li 3.19, 6 Si 3.24, 2 Tb 3.42
Si  0.0000  0.0000  0.2393 [6 per cell]  3 Li 2.59

Results
- Total magnetization: 0.00 μB/cell
- Raw total energy: -4.497 eV per atom

---

[19]
An optimized crystal structure of Li2PmThSi2. Source: Alexandria via LeMat-Bulk, functional GGA-PBE.

a = 4.4505 Å, b = 4.4505 Å, c = 7.3909 Å
α = 90.00°, β = 90.00°, γ = 120.00°
With the nearest neighbours (Å) after each atom.
Space group P-3m1 (No. 164)
Unique sites:
Li  0.3333  0.6667  0.2691 [2 per cell]  3 Si 2.57
Pm  0.0000  0.0000  0.5000 [1 per cell]  6 Li 3.08, 6 Si 3.18
Th  0.0000  0.0000  0.0000 [1 per cell]  6 Si 3.15, 6 Li 3.25
Si  0.3333  0.6667  0.7536 [2 per cell]  3 Li 2.57

Results
- Total magnetization: 0.00 μB/cell
- Raw total energy: -4.986 eV per atom

---

[20]
An optimized crystal structure of LiPmThSi. Source: Alexandria via LeMat-Bulk, functional GGA-PBE.

a = 7.2500 Å, b = 7.2500 Å, c = 7.2500 Å
α = 90.00°, β = 90.00°, γ = 90.00°
With the nearest neighbours (Å) after each atom.
Space group F-43m (No. 216)
Unique sites:
Li  0.0000  0.0000  0.0000 [4 per cell]  4 Th 3.14, 4 Pm 3.14
Pm  0.2500  0.2500  0.2500 [4 per cell]  4 Li 3.14, 4 Si 3.14
Th  0.2500  0.2500  0.7500 [4 per cell]  4 Li 3.14, 4 Si 3.14
Si  0.0000  0.0000  0.5000 [4 per cell]  4 Th 3.14, 4 Pm 3.14

Results
- Total magnetization: 0.00 μB/cell
- Raw total energy: -5.091 eV per atom

---

[21]
An optimized crystal structure of LiPmTlSi. Source: Alexandria via LeMat-Bulk, functional GGA-PBE.

a = 7.1598 Å, b = 7.1598 Å, c = 7.1598 Å
α = 90.00°, β = 90.00°, γ = 90.00°
With the nearest neighbours (Å) after each atom.
Space group F-43m (No. 216)
Unique sites:
Li  0.0000  0.0000  0.0000 [4 per cell]  4 Tl 3.10, 4 Si 3.10
Pm  0.0000  0.0000  0.5000 [4 per cell]  4 Tl 3.10, 4 Si 3.10
Tl  0.2500  0.2500  0.2500 [4 per cell]  4 Li 3.10, 4 Pm 3.10
Si  0.2500  0.2500  0.7500 [4 per cell]  4 Li 3.10, 4 Pm 3.10

Results
- Total magnetization: 0.00 μB/cell
- Raw total energy: -3.837 eV per atom

---

[22]
An optimized crystal structure of Li2Pm2YSi2. Source: Alexandria via LeMat-Bulk, functional GGA-PBE.

a = 4.4197 Å, b = 4.4197 Å, c = 28.0918 Å
α = 90.00°, β = 90.00°, γ = 120.00°
With the nearest neighbours (Å) after each atom.
Space group R-3m (No. 166, hexagonal axes)
Unique sites:
Li  0.0000  0.0000  0.1087 [6 per cell]  3 Si 2.56
Pm  0.0000  0.0000  0.3759 [6 per cell]  3 Si 3.06, 3 Li 3.16
Y  0.0000  0.0000  0.5000 [3 per cell]  6 Li 3.03, 6 Si 3.12
Si  0.0000  0.0000  0.2305 [6 per cell]  3 Li 2.56

Results
- Total magnetization: 0.00 μB/cell
- Raw total energy: -4.779 eV per atom

---

[23]
An optimized crystal structure of LiPmYSi. Source: Alexandria via LeMat-Bulk, functional GGA-PBE.

a = 7.1350 Å, b = 7.1350 Å, c = 7.1350 Å
α = 90.00°, β = 90.00°, γ = 90.00°
With the nearest neighbours (Å) after each atom.
Space group F-43m (No. 216)
Unique sites:
Li  0.0000  0.0000  0.0000 [4 per cell]  4 Pm 3.09, 4 Y 3.09
Pm  0.2500  0.2500  0.7500 [4 per cell]  4 Li 3.09, 4 Si 3.09
Y  0.2500  0.2500  0.2500 [4 per cell]  4 Li 3.09, 4 Si 3.09
Si  0.0000  0.0000  0.5000 [4 per cell]  4 Pm 3.09, 4 Y 3.09

Results
- Total magnetization: 0.00 μB/cell
- Raw total energy: -5.011 eV per atom

---

[24]
An optimized crystal structure of LiPmZnSi. Source: Alexandria via LeMat-Bulk, functional GGA-PBE.

a = 6.8459 Å, b = 6.8459 Å, c = 6.8459 Å
α = 90.00°, β = 90.00°, γ = 90.00°
With the nearest neighbours (Å) after each atom.
Space group F-43m (No. 216)
Unique sites:
Li  0.0000  0.0000  0.0000 [4 per cell]  4 Zn 2.96, 4 Si 2.96
Pm  0.0000  0.0000  0.5000 [4 per cell]  4 Si 2.96, 4 Zn 2.96
Zn  0.2500  0.2500  0.7500 [4 per cell]  4 Li 2.96, 4 Pm 2.96
Si  0.2500  0.2500  0.2500 [4 per cell]  4 Li 2.96, 4 Pm 2.96

Results
- Total magnetization: 0.00 μB/cell
- Raw total energy: -3.676 eV per atom

---

[25]
An optimized crystal structure of Li2PmZn2Si2. Source: Alexandria via LeMat-Bulk, functional GGA-PBE.

a = 4.1896 Å, b = 4.1896 Å, c = 24.0099 Å
α = 90.00°, β = 90.00°, γ = 120.00°
With the nearest neighbours (Å) after each atom.
Space group R-3m (No. 166, hexagonal axes)
Unique sites:
Li  0.0000  0.0000  0.1419 [6 per cell]  3 Zn 2.68, 4 Si 2.68-2.84, 3 Li 2.69
Pm  0.0000  0.0000  0.0000 [3 per cell]  6 Si 3.08, 6 Zn 3.31, 2 Li 3.41
Zn  0.0000  0.0000  0.4273 [6 per cell]  3 Si 2.44, 3 Li 2.68
Si  0.0000  0.0000  0.2537 [6 per cell]  3 Zn 2.44, 1 Li 2.68

Results
- Total magnetization: 0.00 μB/cell
- Raw total energy: -3.602 eV per atom